Entry from Alexandria via LeMat-Bulk: crystalline Lu2TlOs at its relaxed geometry (GGA-PBE).

```
Lu2TlOs
1.0
-0.8996 3.0970 1.1534
-0.6136 0.4732 3.3362
8.4244 3.2826 2.8418
Os Lu Tl
1 2 1
Cartesian
0.0000 0.0000 0.0000
5.5179 5.2180 5.5490
1.3933 1.6348 1.7825
3.4556 3.4264 3.6657
```

Properties
The symmetry is R-3m, No. 166. The density of states at the Fermi level comes out at 1.58 states/eV per cell. Its formation energy is -0.4 eV per formula unit. The energy above the most stable polymorph in this dataset comes out at 0.085 eV/atom. Its mass density is 13.1 g/cm³.

=====

Entry from Alexandria via LeMat-Bulk: crystalline TmLuTlOs at its relaxed geometry (GGA-PBE).

```
TmLuTlOs
1.0
-1.3209 -4.7413 0.7669
1.2680 -2.2839 4.2413
-3.4923 -1.0973 3.3783
Tm Lu Tl Os
1 1 1 1
Cartesian
0.0000 0.0000 0.0000
-1.7726 -4.0613 4.1933
-0.8863 -2.0306 2.0966
-2.6588 -6.0919 6.2899
```

Properties
The symmetry is F-43m, No. 216. The density of states at the Fermi level comes out at 3.17 states/eV per cell. Its formation energy is -0.7 eV per formula unit. Its mass density is 14.0 g/cm³.

=====

Entry from Alexandria via LeMat-Bulk: crystalline YLuTlOs at its relaxed geometry (GGA-PBE).

```
YLuTlOs
1.0
-2.9507 3.5794 -1.9190
-4.9197 0.0004 0.9991
-1.9517 3.5200 3.0003
Tl Lu Os Y
1 1 1 1
Cartesian
-4.9110 3.5499 1.0402
-7.3665 5.3249 1.5603
0.0000 0.0000 0.0000
-2.4555 1.7750 0.5201
```

Properties
The symmetry is F-43m, No. 216. The density of states at the Fermi level comes out at 3.19 states/eV per cell. Its formation energy is -0.7 eV per formula unit. Its mass density is 12.2 g/cm³.

=====

Entry from Alexandria via LeMat-Bulk: crystalline TmLuOs4 at its relaxed geometry (GGA-PBE).

```
TmLuOs4
1.0
5.3150 0.0000 0.0000
2.6575 4.6029 0.0000
2.6575 1.5343 4.3397
Os Tm Lu
4 1 1
Cartesian
5.3150 1.5338 2.7125
6.6441 3.8360 2.7125
5.3150 3.0686 0.5420
3.9858 3.8360 2.7125
2.6575 1.5343 1.0849
0.0000 0.0000 0.0000
```

Properties
The symmetry is F-43m, No. 216. The density of states at the Fermi level comes out at 5.62 states/eV per cell. Its formation energy is -2.0 eV per formula unit. Its mass density is 17.3 g/cm³.

=====

What is the formula in the third record? YLuTlOs

=====

Among the records above, which one has the highest formation energy? Lu2TlOs

=====

What is the mass density in the third record? 12.2 g/cm³